Entry 1:
This record from the Open Quantum Materials Database describes a relaxed structure of RbHoO3. The functional is PBE-GGA.

abc: 6.0982 6.0982 6.0982
angles: 66.93 66.93 66.93
Positions (direct):
Ho: 0.2500 0.2500 0.2500
Ho: 0.7500 0.7500 0.7500
O: 0.7500 0.4396 0.0604
O: 0.5604 0.9396 0.2500
O: 0.0604 0.7500 0.4396
O: 0.9396 0.2500 0.5604
O: 0.4396 0.0604 0.7500
O: 0.2500 0.5604 0.9396
Rb: 0.0000 0.0000 0.0000
Rb: 0.5000 0.5000 0.5000

Energy in eV/atom: -5.3848
Space-group type: R-3c, No. 167

Entry 2:
This record from the Open Quantum Materials Database describes a relaxed structure of LuCoReBi. The functional is PBE-GGA.

abc: 4.7447 4.7447 4.7447
angles: 60.00 60.00 60.00
Site moments in Bohr magnetons follow the coordinates.
Positions (direct):
Bi: 0.0000 0.0000 0.0000  0.02
Co: 0.7500 0.7500 0.7500  1.81
Lu: 0.2500 0.2500 0.2500  0.21
Re: 0.5000 0.5000 0.5000  1.52

Energy in eV/atom: -6.3444
Excess energy over the best structure of this formula in the dataset in meV per atom: 316
Space-group type: F-43m, No. 216

Entry 3:
This record from the Open Quantum Materials Database describes a relaxed structure of La2BeCuSi2. The functional is PBE-GGA.

abc: 4.0785 4.0785 8.7229
angles: 90.00 90.00 120.00
Positions (direct):
Be: 0.3333 0.6667 0.0000
Cu: 0.0000 0.0000 0.5000
La: 0.6667 0.3333 0.2508
La: 0.6667 0.3333 0.7492
Si: 0.0000 0.0000 0.0000
Si: 0.3333 0.6667 0.5000

Energy in eV/atom: -5.2595
Space-group type: P-6m2, No. 187

Entry 4:
This record from the Open Quantum Materials Database describes a relaxed structure of La3AgSnSe7. The functional is PBE-GGA.

abc: 10.8880 10.8880 6.2922
angles: 90.00 90.00 120.00
Positions (direct):
Ag: 0.0000 0.0000 0.0520
Ag: 0.0000 0.0000 0.5520
La: 0.6431 0.8658 0.1179
La: 0.1342 0.7773 0.1179
La: 0.2227 0.3569 0.1179
La: 0.3569 0.1342 0.6179
La: 0.8658 0.2227 0.6179
La: 0.7773 0.6431 0.6179
Se: 0.8962 0.1664 0.0955
Se: 0.8336 0.7298 0.0955
Se: 0.2702 0.1038 0.0955
Se: 0.3334 0.6667 0.2979
Se: 0.9125 0.4861 0.3699
Se: 0.5139 0.4264 0.3699
Se: 0.5736 0.0875 0.3699
Se: 0.1664 0.2702 0.5955
Se: 0.1038 0.8336 0.5955
Se: 0.7298 0.8962 0.5955
Se: 0.6666 0.3333 0.7979
Se: 0.0875 0.5139 0.8699
Se: 0.4861 0.5736 0.8699
Se: 0.4264 0.9125 0.8699
Sn: 0.6666 0.3333 0.1983
Sn: 0.3334 0.6667 0.6983

Energy in eV/atom: -5.2422
Space-group type: P6_3, No. 173

Entry 5:
This record from the Open Quantum Materials Database describes a relaxed structure of AlNiAgHg. The functional is PBE-GGA.

abc: 4.5179 4.5179 4.5179
angles: 60.00 60.00 60.00
Positions (direct):
Ag: 0.5000 0.5000 0.5000
Al: 0.0000 0.0000 0.0000
Hg: 0.2500 0.2500 0.2500
Ni: 0.7500 0.7500 0.7500

Energy in eV/atom: -3.0011
Space-group type: F-43m, No. 216

Entry 6:
This record from the Open Quantum Materials Database describes a relaxed structure of SrCoPt2. The functional is PBE-GGA.

abc: 4.7096 4.7096 4.7096
angles: 60.00 60.00 60.00
Positions (direct):
Co: 0.2500 0.2500 0.2500
Pt: 0.0000 0.0000 0.0000
Pt: 0.7500 0.7500 0.7500
Sr: 0.5000 0.5000 0.5000

Energy in eV/atom: -5.0766
Space-group type: F-43m, No. 216

Q: Which value of energy does entry 3 give?
A: -5.2595 eV/atom

Q: The highest energy belongs to which entry?
A: AlNiAgHg